VASP calculation (PBE) on a relaxed structure of Mg2BeCl.

```
data_Mg2BeCl
_chemical_formula_sum 'Mg8 Be4 Cl4'
_space_group_name_H-M_alt 'F -4 3 m'
_space_group_IT_number 216
_space_group_name_Hall 'F -4 2 3'
_cell_length_a 7.085
_cell_length_b 7.085
_cell_length_c 7.085
_cell_angle_alpha 90.00
_cell_angle_beta 90.00
_cell_angle_gamma 90.00
loop_
_atom_site_label
_atom_site_type_symbol
_atom_site_fract_x
_atom_site_fract_y
_atom_site_fract_z
_atom_site_occupancy
Mg1 Mg 0.000 0.000 0.000 1
Mg2 Mg 0.250 0.250 0.250 1
Be1 Be 0.250 0.250 0.750 1
Cl1 Cl 0.000 0.000 0.500 1
```

***

VASP calculation (PBE) on a relaxed structure of MgBe2Cl.

```
data_MgBe2Cl
_chemical_formula_sum 'Mg4 Be8 Cl4'
_space_group_name_H-M_alt 'I -4 2 d'
_space_group_IT_number 122
_space_group_name_Hall 'I -4 2bw'
_cell_length_a 7.221
_cell_length_b 7.221
_cell_length_c 4.919
_cell_angle_alpha 90.00
_cell_angle_beta 90.00
_cell_angle_gamma 90.00
loop_
_atom_site_label
_atom_site_type_symbol
_atom_site_fract_x
_atom_site_fract_y
_atom_site_fract_z
_atom_site_occupancy
Mg1 Mg 0.000 0.000 0.000 1
Be1 Be 0.222 0.250 0.625 1
Cl1 Cl 0.000 0.000 0.500 1
```

***

The formation energy from raw total energies results, record by record, are as follows: 0.49; 0.41 eV per atom.
The energy relative to the lowest polymorph listed for this composition results, record by record, are as follows: 815; 421 meV/atom.